# 1
The following is a DFT calculation (PBE) of crystalline Tl2CuF5 at its relaxed geometry.

Results
The volume comes out at 19.89 A^3/atom. Its energy above the most stable polymorph in this dataset is 0.054 eV/atom. The calculation puts the raw total energy at -0.1419 hartree per atom.

Cell lengths 6.2874, 6.2875, 5.9983 Å; angles 121.62, 121.62, 90.00 degrees
Closest atoms and distances in Å follow each position.
Sites, in units of the cell vectors:
1 Tl 0.2222 0.7224 0.4446  4 F 2.76
2 Tl 0.7224 0.2222 0.4447  4 F 2.76
3 Cu 0.9864 0.9864 0.9727  5 F 1.87-1.90
4 F 0.8119 0.2341 0.0460  1 Cu 1.90
5 F 0.2340 0.2340 0.0459  1 Cu 1.90
6 F 0.8119 0.8119 0.0458  1 Cu 1.90
7 F 0.2341 0.8119 0.0460  1 Cu 1.90
8 F 0.7541 0.7541 0.5084  1 Cu 1.87

# 2
The following is a DFT calculation (PBE) of crystalline Mg4CdNi at its relaxed geometry.

Results
The volume comes out at 20.23 A^3/atom. Its energy above the most stable polymorph in this dataset is 0.395 eV/atom. Its calculated formation energy is 0.274 eV/atom. The calculation puts the raw total energy at -0.0700 hartree per atom.

Cell lengths 5.5575, 5.5575, 5.5575 Å; angles 60.00, 60.00, 60.00 degrees
Closest atoms and distances in Å follow each position.
Sites, in units of the cell vectors:
1 Mg 0.8735 0.3755 0.3755  6 Mg 2.77-2.79
2 Mg 0.3755 0.3755 0.8735  6 Mg 2.77-2.79
3 Mg 0.3755 0.8735 0.3755  6 Mg 2.77-2.79
4 Mg 0.3755 0.3755 0.3755  6 Mg 2.77-2.79
5 Cd 0.0000 0.0000 0.0000  12 Mg 3.26, 4 Ni 3.40
6 Ni 0.7500 0.7500 0.7500  12 Mg 3.26, 4 Cd 3.40

# 3
The following is a DFT calculation (PBE) of crystalline La2CdW at its relaxed geometry.

Results
The volume comes out at 26.86 A^3/atom. Its calculated formation energy is 0.399 eV/atom. The calculation puts the raw total energy at -0.2033 hartree per atom.

Cell lengths 6.7496, 6.7496, 6.7496 Å; angles 152.01, 131.47, 56.96 degrees
Closest atoms and distances in Å follow each position.
Sites, in units of the cell vectors:
1 Cd 0.2899 0.7899 0.5000  2 W 2.87
2 W 0.4890 0.4890 0.0000  2 Cd 2.87, 2 La 3.09
3 La 0.0114 0.0114 0.0000  4 W 3.23, 2 La 3.26
4 La 0.7097 0.2097 0.5000  2 W 3.09, 2 La 3.26, 4 Cd 3.36

# 4
The following is a DFT calculation (PBE) of crystalline PmPr2Nd6Ho3 at its relaxed geometry.

Results
The volume comes out at 34.24 A^3/atom. Its calculated formation energy is 0.016 eV/atom. The calculation puts the raw total energy at -0.1729 hartree per atom.

Cell lengths 6.3280, 6.3280, 12.0348 Å; angles 95.02, 95.02, 120.01 degrees
Closest atoms and distances in Å follow each position.
Sites, in units of the cell vectors:
1 Pm 0.0000 0.0000 0.0000  6 Pr 3.65, 6 Nd 3.68
2 Pr 0.3333 0.6667 0.0000  3 Pr 3.65, 3 Pm 3.65, 6 Nd 3.68
3 Pr 0.6667 0.3333 0.0000  3 Pr 3.65, 3 Pm 3.65, 6 Nd 3.68
4 Nd 0.9150 0.5822 0.7452  3 Ho 3.59, 6 Nd 3.65-3.66, 1 Pm 3.68, 2 Pr 3.68
5 Nd 0.7521 0.7521 0.2549  3 Ho 3.59, 6 Nd 3.65-3.66, 1 Pm 3.68, 2 Pr 3.68
6 Nd 0.0850 0.4178 0.2548  3 Ho 3.59, 6 Nd 3.65-3.66, 1 Pm 3.68, 2 Pr 3.68
7 Nd 0.5822 0.9150 0.7452  3 Ho 3.59, 6 Nd 3.65-3.66, 1 Pm 3.68, 2 Pr 3.68
8 Nd 0.2479 0.2479 0.7451  3 Ho 3.59, 6 Nd 3.65-3.66, 1 Pm 3.68, 2 Pr 3.68
9 Nd 0.4178 0.0850 0.2548  3 Ho 3.59, 6 Nd 3.65-3.66, 1 Pm 3.68, 2 Pr 3.68
10 Ho 0.1666 0.8334 0.5000  6 Nd 3.59, 6 Ho 3.65
11 Ho 0.8334 0.1666 0.5000  6 Nd 3.59, 6 Ho 3.65
12 Ho 0.5000 0.5000 0.5000  6 Nd 3.59, 6 Ho 3.65

# 5
The following is a DFT calculation (PBE) of crystalline CeBe2Cu9 at its relaxed geometry.

Results
The volume comes out at 13.03 A^3/atom. Its calculated formation energy is -0.080 eV/atom. The calculation puts the raw total energy at -0.1568 hartree per atom.

Cell lengths 6.3823, 7.6928, 7.6928 Å; angles 80.09, 65.49, 65.49 degrees
Closest atoms and distances in Å follow each position.
Sites, in units of the cell vectors:
1 Ce 0.5000 0.0000 0.0000  18 Cu 3.11-3.21, 4 Be 3.44
2 Ce 0.2500 0.5000 0.5000  18 Cu 3.11-3.21, 4 Be 3.44
3 Be 0.8750 0.2500 0.7500  10 Cu 2.35-2.60
4 Be 0.8750 0.7500 0.2500  10 Cu 2.35-2.60
5 Be 0.8750 0.2500 0.2500  10 Cu 2.35-2.60
6 Be 0.3750 0.7500 0.7500  10 Cu 2.35-2.60
7 Cu 0.7500 0.5000 0.5000  4 Be 2.60, 8 Cu 2.62
8 Cu 0.0000 0.0000 0.0000  4 Be 2.60, 8 Cu 2.62
9 Cu 0.0212 0.9194 0.6740  2 Be 2.35-2.40, 8 Cu 2.43-2.63
10 Cu 0.6146 0.0806 0.3260  2 Be 2.35-2.40, 8 Cu 2.43-2.63
11 Cu 0.6906 0.1740 0.5806  2 Be 2.35-2.40, 8 Cu 2.43-2.63
12 Cu 0.4452 0.8260 0.4194  2 Be 2.35-2.40, 8 Cu 2.43-2.63
13 Cu 0.7288 0.8260 0.5806  2 Be 2.35-2.40, 8 Cu 2.43-2.63
14 Cu 0.1354 0.1740 0.4194  2 Be 2.35-2.40, 8 Cu 2.43-2.63
15 Cu 0.0594 0.9194 0.3260  2 Be 2.35-2.40, 8 Cu 2.43-2.63
16 Cu 0.3048 0.0806 0.6740  2 Be 2.35-2.40, 8 Cu 2.43-2.63
17 Cu 0.7288 0.5806 0.8260  2 Be 2.35-2.40, 8 Cu 2.43-2.63
18 Cu 0.1354 0.4194 0.1740  2 Be 2.35-2.40, 8 Cu 2.43-2.63
19 Cu 0.0594 0.3260 0.9194  2 Be 2.35-2.40, 8 Cu 2.43-2.63
20 Cu 0.3048 0.6740 0.0806  2 Be 2.35-2.40, 8 Cu 2.43-2.63
21 Cu 0.0212 0.6740 0.9194  2 Be 2.35-2.40, 8 Cu 2.43-2.63
22 Cu 0.6146 0.3260 0.0806  2 Be 2.35-2.40, 8 Cu 2.43-2.63
23 Cu 0.6906 0.5806 0.1740  2 Be 2.35-2.40, 8 Cu 2.43-2.63
24 Cu 0.4452 0.4194 0.8260  2 Be 2.35-2.40, 8 Cu 2.43-2.63

# 6
The following is a DFT calculation (PBE) of crystalline HOsRh at its relaxed geometry.

Results
The volume comes out at 10.72 A^3/atom. Its energy above the most stable polymorph in this dataset is 0.153 eV/atom. The calculation puts the raw total energy at -0.2596 hartree per atom.

Cell lengths 4.3641, 3.9146, 3.9776 Å; angles 90.30, 77.38, 103.76 degrees
Closest atoms and distances in Å follow each position.
Sites, in units of the cell vectors:
1 Os 0.9601 0.1613 0.4607  2 H 1.88-1.99
2 Os 0.5391 0.5370 0.5457  2 H 1.88-1.99
3 H 0.2278 0.0912 0.7532  2 Rh 1.87-2.02, 2 Os 1.88-1.99
4 H 0.2712 0.6074 0.2536  2 Rh 1.87-2.02, 2 Os 1.88-1.99
5 Rh 0.5284 0.0457 0.0607  2 H 1.87-2.02
6 Rh 0.9708 0.6527 0.9456  2 H 1.87-2.02

# 7
The following is a DFT calculation (PBE) of crystalline KBa2Mo at its relaxed geometry.

Results
The volume comes out at 44.34 A^3/atom. Its energy above the most stable polymorph in this dataset is 0.229 eV/atom. Its calculated formation energy is 1.014 eV/atom. The calculation puts the raw total energy at -0.1077 hartree per atom.

Cell lengths 6.1116, 6.1079, 4.7515 Å; angles 90.00, 90.00, 90.00 degrees
Closest atoms and distances in Å follow each position.
Sites, in units of the cell vectors:
1 Ba 0.0000 0.0000 0.0000  4 Mo 3.87, 4 K 3.87, 4 Ba 4.32
2 Ba 0.5000 0.5000 0.0000  4 K 3.87, 4 Mo 3.87, 4 Ba 4.32
3 K 0.5000 0.0000 0.5000  8 Ba 3.87, 4 Mo 4.32
4 Mo 0.0000 0.5000 0.5000  8 Ba 3.87, 4 K 4.32

# 8
The following is a DFT calculation (PBE) of crystalline TaCr3Cd at its relaxed geometry.

Results
The volume comes out at 22.41 A^3/atom. Its energy above the most stable polymorph in this dataset is 0.569 eV/atom. Its calculated formation energy is 2.032 eV/atom. The calculation puts the raw total energy at -0.2314 hartree per atom.

Cell lengths 4.8207, 4.8207, 4.8207 Å; angles 90.00, 90.00, 90.00 degrees
Closest atoms and distances in Å follow each position.
Sites, in units of the cell vectors:
1 Cr 0.0000 0.5000 0.0000  2 Cd 2.41
2 Cr 0.0000 0.0000 0.5000  2 Cd 2.41
3 Cr 0.5000 0.0000 0.0000  2 Cd 2.41
4 Cd 0.0000 0.0000 0.0000  6 Cr 2.41
5 Ta 0.5000 0.5000 0.5000  12 Cr 3.41

# 9
The following is a DFT calculation (PBE) of crystalline HoAl4Bi at its relaxed geometry.

Results
The volume comes out at 20.78 A^3/atom. Its calculated formation energy is -0.156 eV/atom. The calculation puts the raw total energy at -0.1492 hartree per atom.

Cell lengths 5.6077, 5.6077, 5.6077 Å; angles 60.00, 60.00, 60.00 degrees
Closest atoms and distances in Å follow each position.
Sites, in units of the cell vectors:
1 Al 0.6250 0.6250 0.1251  6 Al 2.80
2 Al 0.6250 0.1251 0.6250  6 Al 2.80
3 Al 0.6250 0.6250 0.6250  6 Al 2.80
4 Al 0.1251 0.6250 0.6250  6 Al 2.80
5 Bi 0.2500 0.2500 0.2500  12 Al 3.29, 4 Ho 3.43
6 Ho 0.0000 0.0000 0.0000  12 Al 3.29, 4 Bi 3.43

# 10
The following is a DFT calculation (PBE) of crystalline NaAcSb2 at its relaxed geometry.

Results
The volume comes out at 31.10 A^3/atom. Its energy above the most stable polymorph in this dataset is 0.168 eV/atom. The calculation puts the raw total energy at -0.1473 hartree per atom.

Cell lengths 4.2293, 4.2293, 6.9540 Å; angles 90.00, 90.00, 90.00 degrees
Closest atoms and distances in Å follow each position.
Sites, in units of the cell vectors:
1 Sb 0.0000 0.0000 0.7664  1 Sb 3.25, 4 Na 3.40, 4 Ac 3.52
2 Sb 0.0000 0.0000 0.2336  1 Sb 3.25, 4 Na 3.40, 4 Ac 3.52
3 Ac 0.5000 0.5000 0.5000  2 Na 3.48, 8 Sb 3.52
4 Na 0.5000 0.5000 0.0000  8 Sb 3.40, 2 Ac 3.48

# 11
The following is a DFT calculation (PBE) of crystalline La2Pr2Sn at its relaxed geometry.

Results
The volume comes out at 34.94 A^3/atom. Its energy above the most stable polymorph in this dataset is 0.000 eV/atom. Its calculated formation energy is -0.183 eV/atom. The calculation puts the raw total energy at -0.1788 hartree per atom.

Cell lengths 5.6183, 5.6183, 12.7826 Å; angles 90.00, 90.00, 120.00 degrees
Closest atoms and distances in Å follow each position.
Sites, in units of the cell vectors:
1 La 0.6667 0.3333 0.7500  3 Sn 3.24
2 La 0.0000 0.0000 0.0000  2 Sn 3.20, 6 Pr 3.42
3 La 0.0000 0.0000 0.5000  2 Sn 3.20, 6 Pr 3.42
4 La 0.3333 0.6667 0.2500  3 Sn 3.24
5 Pr 0.3333 0.6667 0.5852  3 La 3.42
6 Pr 0.6667 0.3333 0.0852  3 La 3.42
7 Pr 0.6667 0.3333 0.4148  3 La 3.42
8 Pr 0.3333 0.6667 0.9148  3 La 3.42
9 Sn 0.0000 0.0000 0.2500  5 La 3.20-3.24
10 Sn 0.0000 0.0000 0.7500  5 La 3.20-3.24

# 12
The following is a DFT calculation (PBE) of crystalline YGe2Ru at its relaxed geometry.

Results
The volume comes out at 19.27 A^3/atom. Its calculated formation energy is -0.638 eV/atom. The calculation puts the raw total energy at -0.2529 hartree per atom.

Cell lengths 4.2488, 9.0792, 9.4338 Å; angles 118.76, 103.01, 90.00 degrees
Closest atoms and distances in Å follow each position.
Sites, in units of the cell vectors:
1 Y 0.7084 0.7084 0.4168  8 Ge 2.95-3.11, 6 Ru 3.28
2 Y 0.5000 0.2582 0.0000  4 Ru 3.12, 10 Ge 3.30-3.42
3 Y 0.5000 0.7418 0.0000  4 Ru 3.12, 10 Ge 3.30-3.42
4 Y 0.2916 0.2916 0.5832  8 Ge 2.95-3.11, 6 Ru 3.28
5 Ge 0.9214 0.4214 0.8429  2 Ru 2.50, 1 Ge 2.51
6 Ge 0.7001 0.3582 0.4001  3 Ru 2.46-2.65
7 Ge 0.7001 0.0419 0.4001  3 Ru 2.46-2.65
8 Ge 0.2999 0.6418 0.5999  3 Ru 2.46-2.65
9 Ge 0.0811 0.0811 0.1622  2 Ru 2.47, 1 Ge 2.59
10 Ge 0.0786 0.5786 0.1571  2 Ru 2.50, 1 Ge 2.51
11 Ge 0.9189 0.9189 0.8378  2 Ru 2.47, 1 Ge 2.59
12 Ge 0.2999 0.9581 0.5999  3 Ru 2.46-2.65
13 Ru 0.8570 0.6076 0.7140  5 Ge 2.46-2.65
14 Ru 0.1430 0.3924 0.2860  5 Ge 2.46-2.65
15 Ru 0.1430 0.8936 0.2860  5 Ge 2.46-2.65
16 Ru 0.8570 0.1064 0.7140  5 Ge 2.46-2.65